<A>
SrLa2Cr: relaxed, GGA-PBEsol.

Output
Symmetry: I-4m2 (119)
D(E_F), states/eV/cell: 10.75

```
SrLa2Cr
1.0
4.863 0.000 0.000
0.000 4.863 0.000
0.000 0.000 10.500
Sr La Cr
2 4 2
Direct
0.000 0.000 0.000 Sr
0.500 0.500 0.500 Sr
0.000 0.000 0.500 La
0.000 0.500 0.250 La
0.500 0.000 0.750 La
0.500 0.500 0.000 La
0.000 0.500 0.750 Cr
0.500 0.000 0.250 Cr
```


<B>
SrLa2Cr: relaxed, GGA-PBEsol.

Output
Symmetry: P4mm (99)
D(E_F), states/eV/cell: 4.83

```
SrLa2Cr
1.0
3.749 0.000 0.000
0.000 3.749 0.000
0.000 0.000 9.176
Sr La Cr
1 2 1
Direct
0.000 0.000 0.000 Sr
0.000 0.000 0.405 La
0.500 0.500 0.667 La
0.500 0.500 0.232 Cr
```


Energy comparison, zero being the most stable, in kJ/mol of atoms: <A> 14.4; <B> 0.0.


<A>
LaTaCr: relaxed, GGA-PBEsol.

Output
Symmetry: F-43m (216)
D(E_F), states/eV/cell: 12.93

```
LaTaCr
1.0
6.436 0.000 0.000
0.000 6.436 0.000
0.000 0.000 6.436
La Ta Cr
4 4 4
Direct
0.000 0.000 0.000 La
0.000 0.500 0.500 La
0.500 0.000 0.500 La
0.500 0.500 0.000 La
0.250 0.250 0.250 Ta
0.250 0.750 0.750 Ta
0.750 0.250 0.750 Ta
0.750 0.750 0.250 Ta
0.250 0.250 0.750 Cr
0.250 0.750 0.250 Cr
0.750 0.250 0.250 Cr
0.750 0.750 0.750 Cr
```


<B>
LaTaCr: relaxed, GGA-PBEsol.

Output
Symmetry: P3m1 (156)
D(E_F), states/eV/cell: 3.15

```
LaTaCr
1.0
4.491 0.000 0.000
-2.246 3.890 0.000
0.000 0.000 3.227
La Ta Cr
1 1 1
Direct
0.000 0.000 0.000 La
0.333 0.667 0.396 Ta
0.667 0.333 0.670 Cr
```


Energy comparison, zero being the most stable, in kJ/mol of atoms: <A> 94.2; <B> 0.0.


<A>
La2TaCr: relaxed, GGA-PBEsol.

Output
Symmetry: R-3m (166)
D(E_F), states/eV/cell: 14.52

```
La2TaCr
1.0
3.263 0.000 0.000
-1.631 2.826 0.000
0.000 0.000 30.252
La Ta Cr
6 3 3
Direct
0.000 0.000 0.247 La
0.000 0.000 0.753 La
0.333 0.667 0.420 La
0.333 0.667 0.913 La
0.667 0.333 0.087 La
0.667 0.333 0.580 La
0.000 0.000 0.000 Ta
0.333 0.667 0.667 Ta
0.667 0.333 0.333 Ta
0.000 0.000 0.500 Cr
0.333 0.667 0.167 Cr
0.667 0.333 0.833 Cr
```


<B>
La2TaCr: relaxed, GGA-PBEsol.

Output
Symmetry: P2/m (10)
D(E_F), states/eV/cell: 5.24

```
La2TaCr
1.0
3.103 0.000 0.000
0.000 5.119 0.000
-0.672 0.000 5.577
La Ta Cr
2 1 1
Direct
0.202 0.000 0.260 La
0.798 0.000 0.740 La
0.500 0.500 0.000 Ta
0.000 0.500 0.500 Cr
```


Energy comparison, zero being the most stable, in kJ/mol of atoms: <A> 2.2; <B> 0.0.


<A>
LaCrW2: relaxed, GGA-PBEsol.

Output
Symmetry: P4/mmm (123)
D(E_F), states/eV/cell: 4.27

```
LaCrW2
1.0
2.998 0.000 0.000
0.000 2.998 0.000
0.000 0.000 7.914
La Cr W
1 1 2
Direct
0.000 0.000 0.000 La
0.000 0.000 0.500 Cr
0.500 0.500 0.317 W
0.500 0.500 0.683 W
```


<B>
LaCrW2: relaxed, GGA-PBEsol.

Output
Symmetry: C2/m (12)
D(E_F), states/eV/cell: 7.15

```
LaCrW2
1.0
9.741 0.000 0.000
0.000 3.012 0.000
-1.232 0.000 4.960
La Cr W
2 2 4
Direct
0.000 0.000 0.000 La
0.500 0.500 0.000 La
0.000 0.500 0.500 Cr
0.500 0.000 0.500 Cr
0.211 0.000 0.680 W
0.289 0.500 0.320 W
0.711 0.500 0.680 W
0.789 0.000 0.320 W
```


Energy comparison, zero being the most stable, in kJ/mol of atoms: <A> 0.0; <B> 20.3.